(1)
VASP calculation (PBE-GGA) on an optimized crystal structure of MgGaPd3.

Cell and atoms, written as POSCAR:
```
MgGaPd3
1.0
4.615 0.000 0.000
0.000 4.615 0.000
0.000 0.000 4.615
Mg Ga Pd
1 1 3
direct
0.000 0.000 0.000
0.500 0.500 0.500
0.000 0.000 0.500
0.000 0.500 0.000
0.500 0.000 0.000
```

Computed properties:
For the polymorph energy (0 for the lowest one), the calculation gives 1006 meV per atom. For the calculated density, the calculation gives 7.0 Mg/m³. The value obtained for the formation enthalpy at 0 K is 8.6 kcal/mol of atoms. As for the magnetization: 0.000 μB per formula unit. The calculated volume comes out at 19.656 Å³ per atom. The value obtained for the total energy is -3.6679 eV/atom.



(2)
VASP calculation (PBE-GGA) on an optimized crystal structure of HfTiCo3.

Cell and atoms, written as POSCAR:
```
HfTiCo3
1.0
4.239 0.000 0.000
0.000 4.239 0.000
0.000 0.000 4.239
Hf Ti Co
1 1 3
direct
0.000 0.000 0.000
0.500 0.500 0.500
0.000 0.500 0.500
0.500 0.000 0.500
0.500 0.500 0.000
```

Computed properties:
For the polymorph energy (0 for the lowest one), the calculation gives 683 meV per atom. For the calculated density, the calculation gives 8.8 Mg/m³. The value obtained for the formation enthalpy at 0 K is 11.1 kcal/mol of atoms. As for the magnetization: 0.000 μB per formula unit. The calculated volume comes out at 15.230 Å³ per atom. The value obtained for the total energy is -7.3503 eV/atom.



(3)
VASP calculation (PBE-GGA) on an optimized crystal structure of NdHoCuPb.

Cell and atoms, written as POSCAR:
```
NdHoCuPb
1.0
7.464 0.000 0.000
0.000 7.464 0.000
0.000 0.000 7.464
Nd Ho Cu Pb
4 4 4 4
direct
0.000 0.000 0.000
0.000 0.500 0.500
0.500 0.000 0.500
0.500 0.500 0.000
0.000 0.000 0.500
0.000 0.500 0.000
0.500 0.000 0.000
0.500 0.500 0.500
0.250 0.250 0.250
0.250 0.750 0.750
0.750 0.250 0.750
0.750 0.750 0.250
0.250 0.250 0.750
0.250 0.750 0.250
0.750 0.250 0.250
0.750 0.750 0.750
```

Computed properties:
For the calculated density, the calculation gives 9.3 Mg/m³. The value obtained for the formation enthalpy at 0 K is -6.7 kcal/mol of atoms. As for the magnetization: 0.019 μB per formula unit. The calculated volume comes out at 25.991 Å³ per atom. The value obtained for the total energy is -4.5778 eV/atom.



(4)
VASP calculation (PBE-GGA) on an optimized crystal structure of In2AsCl.

Cell and atoms, written as POSCAR:
```
In2AsCl
1.0
3.806 0.000 0.000
0.000 3.676 0.000
-0.048 0.000 7.682
In As Cl
2 1 1
direct
0.002 0.000 0.205
0.998 0.000 0.795
0.500 0.500 0.000
0.000 0.500 0.500
```

Computed properties:
For the polymorph energy (0 for the lowest one), the calculation gives 151 meV per atom. For the calculated density, the calculation gives 5.3 Mg/m³. As for the uncorrected formation energy: -0.23 eV/atom. As for the magnetization: 0.000 μB per formula unit. The calculated volume comes out at 26.869 Å³ per atom. The value obtained for the total energy is -3.2193 eV/atom.



(5)
VASP calculation (PBE-GGA) on an optimized crystal structure of Cs2ErCd2Se4.

Cell and atoms, written as POSCAR:
```
Cs2ErCd2Se4
1.0
8.516 -2.112 0.000
8.516 2.112 0.000
-3.398 0.000 8.159
Cs Er Cd Se
2 1 2 4
direct
0.127 0.127 0.063
0.873 0.873 0.937
0.000 0.000 0.500
0.314 0.314 0.485
0.686 0.686 0.515
0.180 0.180 0.707
0.477 0.477 0.706
0.523 0.523 0.294
0.820 0.820 0.293
```

Computed properties:
For the calculated density, the calculation gives 5.5 Mg/m³. As for the uncorrected formation energy: -1.10 eV/atom. As for the magnetization: 0.000 μB per formula unit. The calculated volume comes out at 32.611 Å³ per atom. The value obtained for the total energy is -3.5522 eV/atom.



(6)
VASP calculation (PBE-GGA) on an optimized crystal structure of BaLiSb2W.

Cell and atoms, written as POSCAR:
```
BaLiSb2W
1.0
5.331 0.000 0.000
0.000 5.331 0.000
0.000 0.000 5.900
Ba Li Sb W
1 1 2 1
direct
0.000 0.000 0.000
0.500 0.500 0.000
0.000 0.500 0.500
0.500 0.000 0.500
0.000 0.000 0.500
```

Computed properties:
For the calculated density, the calculation gives 5.7 Mg/m³. As for the uncorrected formation energy: 0.42 eV/atom. As for the magnetization: 0.000 μB per formula unit. The calculated volume comes out at 33.537 Å³ per atom. The value obtained for the total energy is -4.5889 eV/atom.